Record 1
## CaZrMo2 (PBE)

Data for crystalline CaZrMo2 at its relaxed geometry.

a b c (Å): 2.8056 4.7062 6.1378
angles (deg): 90.00 90.00 90.00
With the nearest neighbours (Å) after each atom.
Positions (direct):
Ca  0.0000  0.0000  0.0000  2 Ca 2.81, 1 Mo 2.91
Zr  0.5000  0.5000  0.7104  1 Mo 2.66, 2 Zr 2.81
Mo  0.0000  0.0000  0.4746  6 Mo 2.81-3.00, 1 Ca 2.91, 4 Zr 3.10
Mo  0.5000  0.5000  0.2762  1 Zr 2.66, 2 Mo 2.81

Values from the calculation:
ΔE_f ... 0.651 eV per atom
Calculated density ... 6.62 Mg/m³
Uncorrected energy ... -29.61 eV per cell


Record 2
## CaZrMo2 (PBE)

Data for crystalline CaZrMo2 at its relaxed geometry.

a b c (Å): 5.8619 5.8619 5.8619
angles (deg): 146.45 129.84 61.70
With the nearest neighbours (Å) after each atom.
Positions (direct):
Ca  0.0000  0.0000  0.0000  6 Mo 3.06-3.15, 4 Zr 3.25-3.35, 2 Ca 3.38
Zr  0.7239  0.2239  0.5000  8 Mo 3.03-3.31, 4 Ca 3.25-3.35, 2 Zr 3.38
Mo  0.2646  0.7646  0.5000  2 Mo 2.46
Mo  0.4418  0.4418  0.0000  2 Mo 2.46

Values from the calculation:
ΔE_f ... 0.389 eV per atom
Calculated density ... 6.34 Mg/m³
Uncorrected energy ... -30.65 eV per cell


Record 3
## Ca2ZrMo (PBE)

Data for crystalline Ca2ZrMo at its relaxed geometry.

a b c (Å): 3.2897 3.2897 10.5656
angles (deg): 90.00 90.00 109.68
With the nearest neighbours (Å) after each atom.
Positions (direct):
Ca  0.0000  0.0000  0.0000  2 Mo 3.04, 4 Ca 3.29
Ca  0.5000  0.5000  0.3208  4 Ca 3.29, 2 Zr 3.51
Zr  0.0000  0.0000  0.6001  2 Mo 2.65
Mo  0.5000  0.5000  0.7749  2 Zr 2.65

Values from the calculation:
ΔE_f ... 0.416 eV per atom
Calculated density ... 4.12 Mg/m³
Uncorrected energy ... -21.72 eV per cell